No. 1
VASP calculation (GGA-PBE) on a relaxed structure of CuRhW2.

The structure in POSCAR format:
```
CuRhW2
1.0
2.768 0.000 0.000
0.000 2.768 0.000
0.000 0.000 7.699
Cu Rh W
1 1 2
direct
0.000 0.000 0.000
0.500 0.500 0.237
0.000 0.000 0.474
0.500 0.500 0.760
```

Properties
- V (Å³/atom) = 14.8
- energy above the most stable polymorph in this dataset (meV per atom) = 22
- energy of formation (eV/atom) = 0.11
- crystal system = tetragonal

No. 2
VASP calculation (GGA-PBE) on a relaxed structure of La3DyEr2Te6.

The structure in POSCAR format:
```
La3DyEr2Te6
1.0
3.805 -6.630 0.000
3.805 6.630 0.000
-2.558 0.000 7.430
La Dy Er Te
3 1 2 6
direct
0.000 0.000 0.000
0.335 0.665 0.000
0.665 0.335 0.000
0.500 0.500 0.500
0.167 0.833 0.500
0.833 0.167 0.500
0.088 0.423 0.269
0.241 0.241 0.730
0.423 0.088 0.269
0.577 0.912 0.731
0.759 0.759 0.270
0.912 0.577 0.731
```

Properties
- V (Å³/atom) = 31.2
- raw formation energy (eV/atom) = -1.425
- crystal system = monoclinic

| no. | ρ (Mg/m³) | raw total energy (Ry per atom) |
| --- | --- | --- |
| 1 | 15.0 | -0.6782 |
| 2 | 7.4 | -0.3948 |